# VNi2Pd3 PBE-GGA relaxed
data_VNi2Pd3
_symmetry_space_group_name_H-M 'P 1'
_symmetry_Int_Tables_number 1
_cell_length_a 2.717
_cell_length_b 13.160
_cell_length_c 4.594
_cell_angle_alpha 90.00
_cell_angle_beta 90.00
_cell_angle_gamma 90.00
loop_
_symmetry_equiv_pos_as_xyz
'x,y,z'
loop_
_atom_site_label
_atom_site_type_symbol
_atom_site_fract_x
_atom_site_fract_y
_atom_site_fract_z
V1 V 0.250 0.250 0.238
V2 V 0.750 0.750 0.762
Ni1 Ni 0.250 0.592 0.602
Ni2 Ni 0.250 0.908 0.602
Ni3 Ni 0.750 0.092 0.398
Ni4 Ni 0.750 0.408 0.398
Pd1 Pd 0.250 0.083 0.906
Pd2 Pd 0.250 0.417 0.906
Pd3 Pd 0.250 0.750 0.272
Pd4 Pd 0.750 0.250 0.728
Pd5 Pd 0.750 0.583 0.094
Pd6 Pd 0.750 0.917 0.094
# - formation energy from the elements (eV per atom) = -0.052
# - SG = Pmmn

***

# AcLa5Y4 PBE-GGA relaxed
data_AcLa5Y4
_symmetry_space_group_name_H-M 'P 1'
_symmetry_Int_Tables_number 1
_cell_length_a 3.753
_cell_length_b 3.753
_cell_length_c 25.525
_cell_angle_alpha 90.00
_cell_angle_beta 90.00
_cell_angle_gamma 90.00
loop_
_symmetry_equiv_pos_as_xyz
'x,y,z'
loop_
_atom_site_label
_atom_site_type_symbol
_atom_site_fract_x
_atom_site_fract_y
_atom_site_fract_z
Ac1 Ac 0.000 0.000 0.000
La1 La 0.500 0.500 0.109
La2 La 0.500 0.500 0.305
La3 La 0.500 0.500 0.500
La4 La 0.500 0.500 0.695
La5 La 0.500 0.500 0.891
Y1 Y 0.000 0.000 0.208
Y2 Y 0.000 0.000 0.403
Y3 Y 0.000 0.000 0.597
Y4 Y 0.000 0.000 0.792
# - formation energy from the elements (eV per atom) = 0.026
# - SG = P4/mmm
# - energy relative to the lowest polymorph listed for this composition (meV/atom) = 0.0

***

# Nb2MoW3 PBE-GGA relaxed
data_Nb2MoW3
_symmetry_space_group_name_H-M 'P 1'
_symmetry_Int_Tables_number 1
_cell_length_a 7.192
_cell_length_b 7.192
_cell_length_c 6.450
_cell_angle_alpha 90.00
_cell_angle_beta 90.00
_cell_angle_gamma 143.13
loop_
_symmetry_equiv_pos_as_xyz
'x,y,z'
loop_
_atom_site_label
_atom_site_type_symbol
_atom_site_fract_x
_atom_site_fract_y
_atom_site_fract_z
Nb1 Nb 0.000 0.000 0.000
Nb2 Nb 0.000 0.000 0.500
Nb3 Nb 0.333 0.667 0.000
Nb4 Nb 0.667 0.333 0.000
Mo1 Mo 0.333 0.667 0.500
Mo2 Mo 0.667 0.333 0.500
W1 W 0.168 0.832 0.254
W2 W 0.168 0.832 0.746
W3 W 0.500 0.500 0.253
W4 W 0.500 0.500 0.747
W5 W 0.832 0.168 0.254
W6 W 0.832 0.168 0.746
# - formation energy from the elements (eV per atom) = -0.060
# - SG = Cmmm
# - energy relative to the lowest polymorph listed for this composition (meV/atom) = 2.8

***

# Nb2TcRu PBE-GGA relaxed
data_Nb2TcRu
_symmetry_space_group_name_H-M 'P 1'
_symmetry_Int_Tables_number 1
_cell_length_a 4.508
_cell_length_b 4.508
_cell_length_c 4.508
_cell_angle_alpha 60.00
_cell_angle_beta 60.00
_cell_angle_gamma 60.00
loop_
_symmetry_equiv_pos_as_xyz
'x,y,z'
loop_
_atom_site_label
_atom_site_type_symbol
_atom_site_fract_x
_atom_site_fract_y
_atom_site_fract_z
Nb1 Nb 0.250 0.250 0.250
Nb2 Nb 0.750 0.750 0.750
Tc1 Tc 0.000 0.000 0.000
Ru1 Ru 0.500 0.500 0.500
# - formation energy from the elements (eV per atom) = -0.265
# - SG = Fm-3m

***

# CsZr2Ga2 PBE-GGA relaxed
data_CsZr2Ga2
_symmetry_space_group_name_H-M 'P 1'
_symmetry_Int_Tables_number 1
_cell_length_a 8.830
_cell_length_b 8.830
_cell_length_c 8.830
_cell_angle_alpha 151.06
_cell_angle_beta 151.06
_cell_angle_gamma 41.39
loop_
_symmetry_equiv_pos_as_xyz
'x,y,z'
loop_
_atom_site_label
_atom_site_type_symbol
_atom_site_fract_x
_atom_site_fract_y
_atom_site_fract_z
Cs1 Cs 0.000 0.000 0.000
Zr1 Zr 0.250 0.750 0.500
Zr2 Zr 0.750 0.250 0.500
Ga1 Ga 0.357 0.357 0.000
Ga2 Ga 0.643 0.643 0.000
# - formation energy from the elements (eV per atom) = 0.212
# - SG = I4/mmm
# - energy relative to the lowest polymorph listed for this composition (meV/atom) = 20.2

***

# Be2NbF PBE-GGA relaxed
data_Be2NbF
_symmetry_space_group_name_H-M 'P 1'
_symmetry_Int_Tables_number 1
_cell_length_a 5.128
_cell_length_b 5.128
_cell_length_c 5.128
_cell_angle_alpha 117.20
_cell_angle_beta 117.20
_cell_angle_gamma 94.92
loop_
_symmetry_equiv_pos_as_xyz
'x,y,z'
loop_
_atom_site_label
_atom_site_type_symbol
_atom_site_fract_x
_atom_site_fract_y
_atom_site_fract_z
Be1 Be 0.375 0.248 0.373
Be2 Be 0.752 0.125 0.127
Be3 Be 0.875 0.002 0.627
Be4 Be 0.998 0.625 0.873
Nb1 Nb 0.250 0.750 0.500
Nb2 Nb 0.500 0.500 0.000
F1 F 0.000 0.000 0.000
F2 F 0.750 0.250 0.500
# - formation energy (no corrections) (eV/f.u.) = -0.61
# - SG = I-42d
# - energy relative to the lowest polymorph listed for this composition (meV/atom) = 0.0

***

# YCr2Pd PBE-GGA relaxed
data_YCr2Pd
_symmetry_space_group_name_H-M 'P 1'
_symmetry_Int_Tables_number 1
_cell_length_a 4.488
_cell_length_b 4.488
_cell_length_c 4.488
_cell_angle_alpha 60.00
_cell_angle_beta 60.00
_cell_angle_gamma 60.00
loop_
_symmetry_equiv_pos_as_xyz
'x,y,z'
loop_
_atom_site_label
_atom_site_type_symbol
_atom_site_fract_x
_atom_site_fract_y
_atom_site_fract_z
Y1 Y 0.000 0.000 0.000
Cr1 Cr 0.250 0.250 0.250
Cr2 Cr 0.750 0.750 0.750
Pd1 Pd 0.500 0.500 0.500
# - formation energy from the elements (eV per atom) = 0.650
# - SG = Fm-3m
# - energy relative to the lowest polymorph listed for this composition (meV/atom) = 122.3